Record 1
VASP calculation (GGA-PBE) on a relaxed LaHoAg4 crystal.

a b c (Å): 4.7936 4.7953 7.1404
angles (deg): 89.99 90.00 60.02
Closest atoms and distances in Å follow each position.
Fractional positions:
Ag: 0.0847 0.5805 0.2751  3 Ag 2.77
Ag: 0.4179 0.9141 0.2752  3 Ag 2.77
Ag: 0.0847 0.5805 0.7210  3 Ag 2.77
Ag: 0.4179 0.9141 0.7213  3 Ag 2.77
Ho: 0.7513 0.2473 0.4981  12 Ag 3.19-3.20, 2 La 3.57
La: 0.7513 0.2473 0.9981  12 Ag 3.40, 2 Ho 3.57

The excess energy over the best structure of this formula in the dataset is 0.0 meV/atom. Its final energy is -3.7605 eV/atom. The space-group type is P6/mmm (191).

Record 2
VASP calculation (GGA-PBE) on a relaxed LaHo3Ag4 crystal.

a b c (Å): 5.1903 7.3647 10.3787
angles (deg): 90.00 90.00 90.00
Closest atoms and distances in Å follow each position.
Fractional positions:
Ho: 0.4994 0.5000 0.7500  8 Ag 3.25
Ho: 0.0000 0.0000 0.0000  8 Ag 3.12
Ho: 0.4989 0.0000 0.7500  8 Ag 3.11-3.12
Ho: 0.5006 0.5000 0.2500  8 Ag 3.25
Ho: 0.0000 0.0000 0.5000  8 Ag 3.12
Ho: 0.5011 0.0000 0.2500  8 Ag 3.11-3.12
Ag: 0.0016 0.7659 0.2500  6 Ho 3.11-3.25, 2 La 3.25, 1 Ag 3.45
Ag: 0.5000 0.2343 0.0000  6 Ho 3.12-3.25, 2 La 3.25, 1 Ag 3.45
Ag: 0.5000 0.2343 0.5000  6 Ho 3.12-3.25, 2 La 3.25, 1 Ag 3.45
Ag: 0.9984 0.2341 0.7500  6 Ho 3.11-3.25, 2 La 3.25, 1 Ag 3.45
Ag: 0.5000 0.7657 0.5000  6 Ho 3.12-3.25, 2 La 3.25, 1 Ag 3.45
Ag: 0.0016 0.2341 0.2500  6 Ho 3.11-3.25, 2 La 3.25, 1 Ag 3.45
Ag: 0.9984 0.7659 0.7500  6 Ho 3.11-3.25, 2 La 3.25, 1 Ag 3.45
Ag: 0.5000 0.7657 0.0000  6 Ho 3.12-3.25, 2 La 3.25, 1 Ag 3.45
La: 0.0000 0.5000 0.0000  8 Ag 3.25
La: 0.0000 0.5000 0.5000  8 Ag 3.25

Its final energy is -4.0553 eV/atom. The space-group type is Pmma (51).

Record 3
VASP calculation (GGA-PBE) on a relaxed La3HoAg4 crystal.

a b c (Å): 3.7389 3.7389 15.3470
angles (deg): 90.00 90.00 90.00
Closest atoms and distances in Å follow each position.
Fractional positions:
La: 0.5000 0.5000 0.7567  8 Ag 3.30-3.36
La: 0.5000 0.5000 0.2433  8 Ag 3.30-3.36
La: 0.5000 0.5000 0.5000  8 Ag 3.29
Ag: 0.0000 0.0000 0.8917  4 Ho 3.12, 1 Ag 3.32, 4 La 3.36
Ag: 0.0000 0.0000 0.6279  8 La 3.29-3.30
Ag: 0.0000 0.0000 0.1083  4 Ho 3.12, 1 Ag 3.32, 4 La 3.36
Ag: 0.0000 0.0000 0.3721  8 La 3.29-3.30
Ho: 0.5000 0.5000 0.0000  8 Ag 3.12

Its final energy is -4.1187 eV/atom. The space-group type is P4/mmm (123).